[1]
# Tc2MoRu5, relaxed, DFT PBE
# Crystal system: orthorhombic
data_Tc2MoRu5
_chemical_formula_sum 'Tc8 Mo4 Ru20'
_cell_length_a 5.513
_cell_length_b 8.723
_cell_length_c 9.481
_cell_angle_alpha 90.00
_cell_angle_beta 90.00
_cell_angle_gamma 90.00
_symmetry_space_group_name_H-M 'F m m 2'
_symmetry_Int_Tables_number 42
_symmetry_space_group_name_Hall 'F 2 -2'
loop_
_atom_site_label
_atom_site_type_symbol
_atom_site_fract_x
_atom_site_fract_y
_atom_site_fract_z
_atom_site_occupancy
Tc1 Tc 0.000 0.247 0.000 1
Mo1 Mo 0.000 0.000 0.331 1
Ru1 Ru 0.000 0.000 0.832 1
Ru2 Ru 0.249 0.000 0.580 1
Ru3 Ru 0.250 0.250 0.252 1

=====

[2]
# TcMoRu, relaxed, DFT PBE
# Energy above the lowest structure with this stoichiometry in meV/atom: 53
# Crystal system: orthorhombic
data_TcMoRu
_chemical_formula_sum 'Tc2 Mo2 Ru2'
_cell_length_a 2.731
_cell_length_b 3.908
_cell_length_c 8.338
_cell_angle_alpha 90.00
_cell_angle_beta 90.00
_cell_angle_gamma 90.00
_symmetry_space_group_name_H-M 'I m m 2'
_symmetry_Int_Tables_number 44
loop_
_symmetry_equiv_pos_as_xyz
'x,y,z'
'-x,-y,z'
'-x,y,z'
'x,-y,z'
'x+1/2,y+1/2,z+1/2'
'-x+1/2,-y+1/2,z+1/2'
'-x+1/2,y+1/2,z+1/2'
'x+1/2,-y+1/2,z+1/2'
loop_
_atom_site_label
_atom_site_type_symbol
_atom_site_fract_x
_atom_site_fract_y
_atom_site_fract_z
_atom_site_occupancy
Tc1 Tc 0.000 0.000 0.000 1
Mo1 Mo 0.000 0.000 0.672 1
Ru1 Ru 0.000 0.000 0.341 1

=====

[3]
# TcMoRu, relaxed, DFT PBE
# Energy above the lowest structure with this stoichiometry in meV/atom: 89
# Crystal system: trigonal
data_TcMoRu
_chemical_formula_sum 'Tc1 Mo1 Ru1'
_cell_length_a 2.7521
_cell_length_b 2.7521
_cell_length_c 6.7946
_cell_angle_alpha 90.00
_cell_angle_beta 90.00
_cell_angle_gamma 120.00
_symmetry_space_group_name_H-M 'P 3 m 1'
_symmetry_Int_Tables_number 156
loop_
_symmetry_equiv_pos_as_xyz
'x,y,z'
'-y,x-y,z'
'-x+y,-x,z'
'-y,-x,z'
'-x+y,y,z'
'x,x-y,z'
loop_
_atom_site_label
_atom_site_type_symbol
_atom_site_fract_x
_atom_site_fract_y
_atom_site_fract_z
_atom_site_occupancy
Tc1 Tc 0.0000 0.0000 0.0000 1
Mo1 Mo 0.6667 0.3333 0.3471 1
Ru1 Ru 0.3333 0.6667 0.6795 1

=====

[4]
# TcMoRu2, relaxed, DFT PBE
# Energy above the lowest structure with this stoichiometry in meV/atom: 90
# Crystal system: trigonal
data_TcMoRu2
_chemical_formula_sum 'Tc3 Mo3 Ru6'
_cell_length_a 2.7364
_cell_length_b 2.7364
_cell_length_c 27.1236
_cell_angle_alpha 90.00
_cell_angle_beta 90.00
_cell_angle_gamma 120.00
_symmetry_space_group_name_H-M 'R 3 m'
_symmetry_Int_Tables_number 160
_symmetry_space_group_name_Hall 'R 3 -2"'
loop_
_atom_site_label
_atom_site_type_symbol
_atom_site_fract_x
_atom_site_fract_y
_atom_site_fract_z
_atom_site_occupancy
Tc1 Tc 0.0000 0.0000 0.0000 1
Mo1 Mo 0.0000 0.0000 0.2443 1
Ru1 Ru 0.0000 0.0000 0.4962 1
Ru2 Ru 0.0000 0.0000 0.7450 1

=====

[5]
# TcMoRu, relaxed, DFT PBE
# Energy above the lowest structure with this stoichiometry in meV/atom: 0
# Crystal system: triclinic
data_TcMoRu
_chemical_formula_sum 'Tc2 Mo2 Ru2'
_cell_length_a 2.776
_cell_length_b 4.765
_cell_length_c 6.896
_cell_angle_alpha 96.55
_cell_angle_beta 101.59
_cell_angle_gamma 90.08
_symmetry_space_group_name_H-M 'P -1'
_symmetry_Int_Tables_number 2
loop_
_symmetry_equiv_pos_as_xyz
'x,y,z'
'-x,-y,-z'
loop_
_atom_site_label
_atom_site_type_symbol
_atom_site_fract_x
_atom_site_fract_y
_atom_site_fract_z
_atom_site_occupancy
Tc1 Tc 0.000 0.000 0.000 1
Tc2 Tc 0.500 0.500 0.000 1
Mo1 Mo 0.161 0.385 0.324 1
Ru1 Ru 0.331 0.106 0.662 1

=====

[6]
# TcMoRu2, relaxed, DFT PBE
# Energy above the lowest structure with this stoichiometry in meV/atom: 73
# Crystal system: tetragonal
data_TcMoRu2
_chemical_formula_sum 'Tc1 Mo1 Ru2'
_cell_length_a 2.742
_cell_length_b 2.742
_cell_length_c 7.787
_cell_angle_alpha 90.00
_cell_angle_beta 90.00
_cell_angle_gamma 90.00
_symmetry_space_group_name_H-M 'P 4 m m'
_symmetry_Int_Tables_number 99
loop_
_symmetry_equiv_pos_as_xyz
'x,y,z'
'-y,x,z'
'-x,-y,z'
'y,-x,z'
'-x,y,z'
'y,x,z'
'x,-y,z'
'-y,-x,z'
loop_
_atom_site_label
_atom_site_type_symbol
_atom_site_fract_x
_atom_site_fract_y
_atom_site_fract_z
_atom_site_occupancy
Tc1 Tc 0.000 0.000 0.000 1
Mo1 Mo 0.500 0.500 0.267 1
Ru1 Ru 0.000 0.000 0.514 1
Ru2 Ru 0.500 0.500 0.763 1

=====

[7]
# Tc3MoRu, relaxed, DFT PBE
# Energy above the lowest structure with this stoichiometry in meV/atom: 0
# Crystal system: cubic
data_Tc3MoRu
_chemical_formula_sum 'Tc3 Mo1 Ru1'
_cell_length_a 4.562
_cell_length_b 4.562
_cell_length_c 4.562
_cell_angle_alpha 90.00
_cell_angle_beta 90.00
_cell_angle_gamma 90.00
_symmetry_space_group_name_H-M 'P m -3 m'
_symmetry_Int_Tables_number 221
_symmetry_space_group_name_Hall '-P 4 2 3'
loop_
_atom_site_label
_atom_site_type_symbol
_atom_site_fract_x
_atom_site_fract_y
_atom_site_fract_z
_atom_site_occupancy
Tc1 Tc 0.000 0.000 0.500 1
Mo1 Mo 0.500 0.500 0.500 1
Ru1 Ru 0.000 0.000 0.000 1

=====

[8]
# TcMoRu2, relaxed, DFT PBE
# Energy above the lowest structure with this stoichiometry in meV/atom: 21
# Crystal system: tetragonal
data_TcMoRu2
_chemical_formula_sum 'Tc1 Mo1 Ru2'
_cell_length_a 2.748
_cell_length_b 2.748
_cell_length_c 7.719
_cell_angle_alpha 90.00
_cell_angle_beta 90.00
_cell_angle_gamma 90.00
_symmetry_space_group_name_H-M 'P 4/m m m'
_symmetry_Int_Tables_number 123
_symmetry_space_group_name_Hall '-P 4 2'
loop_
_atom_site_label
_atom_site_type_symbol
_atom_site_fract_x
_atom_site_fract_y
_atom_site_fract_z
_atom_site_occupancy
Tc1 Tc 0.000 0.000 0.000 1
Mo1 Mo 0.000 0.000 0.500 1
Ru1 Ru 0.500 0.500 0.245 1

=====

no.,energy of formation (eV per atom)
1,-0.065
2,0.104
3,0.140
4,0.115
5,0.051
6,0.097
7,1.920
8,0.045